[1]
DFT (PBE) results for a geometry-optimized PaMnSe2 structure.

Computed properties:
calculated density = 6.9 Mg/m³
magnetization = 1.383 μB/atom
symmetry = R-3m, No. 166
energy relative to the elements, uncorrected = -0.50 eV/atom

Cell lengths 3.7861, 3.7861, 25.8860 Å; angles 90.00, 90.00, 120.00 degrees
Closest atoms and distances in Å follow each position.
Fractional coordinates of all 12 atoms:
Pa1 0.0000 0.0000 0.0000  6 Se 2.89
Pa2 0.3333 0.6667 0.6667  6 Se 2.89
Pa3 0.6667 0.3333 0.3333  6 Se 2.89
Mn1 0.0000 0.0000 0.5000  2 Se 2.43
Mn2 0.3333 0.6667 0.1667  2 Se 2.43
Mn3 0.6667 0.3333 0.8333  2 Se 2.43
Se1 0.0000 0.0000 0.4062  1 Mn 2.43
Se2 0.0000 0.0000 0.5938  1 Mn 2.43
Se3 0.3333 0.6667 0.0728  1 Mn 2.43
Se4 0.3333 0.6667 0.2605  1 Mn 2.43
Se5 0.6667 0.3333 0.7395  1 Mn 2.43
Se6 0.6667 0.3333 0.9272  1 Mn 2.43

[2]
DFT (PBE) results for a geometry-optimized Pa2MnSe2 structure.

Computed properties:
calculated density = 9.6 Mg/m³
magnetization = 0.000 μB/atom
symmetry = Ibam, No. 72
energy relative to the elements, uncorrected = -0.59 eV/atom

Cell lengths 7.2999, 7.2999, 7.2999 Å; angles 117.01, 79.97, 136.07 degrees
Closest atoms and distances in Å follow each position.
Fractional coordinates of all 10 atoms:
Pa1 0.1082 0.2281 0.3363  2 Mn 2.52
Pa2 0.3918 0.7281 0.1199  2 Mn 2.52
Pa3 0.6082 0.2719 0.8801  2 Mn 2.52
Pa4 0.8918 0.7719 0.6637  2 Mn 2.52
Mn1 0.2500 0.2500 0.0000  4 Pa 2.52, 2 Mn 2.73
Mn2 0.7500 0.7500 0.0000  4 Pa 2.52, 2 Mn 2.73
Se1 0.1399 0.6279 0.7678  5 Pa 2.92-3.07
Se2 0.3601 0.1279 0.4880  5 Pa 2.92-3.07
Se3 0.6399 0.8721 0.5120  5 Pa 2.92-3.07
Se4 0.8601 0.3721 0.2322  5 Pa 2.92-3.07

[3]
DFT (PBE) results for a geometry-optimized Pa3MnSe2 structure.

Computed properties:
calculated density = 11.1 Mg/m³
magnetization = 0.000 μB/atom
symmetry = I4/mmm, No. 139
energy relative to the elements, uncorrected = -0.76 eV/atom

Cell lengths 4.0547, 4.0547, 16.5573 Å; angles 90.00, 90.00, 90.00 degrees
Closest atoms and distances in Å follow each position.
Fractional coordinates of all 12 atoms:
Pa1 0.0000 0.0000 0.0000  4 Mn 2.87, 2 Se 2.92
Pa2 0.0000 0.0000 0.3543  1 Mn 2.41
Pa3 0.0000 0.0000 0.6457  1 Mn 2.41
Pa4 0.5000 0.5000 0.1457  1 Mn 2.41
Pa5 0.5000 0.5000 0.5000  4 Mn 2.87, 2 Se 2.92
Pa6 0.5000 0.5000 0.8543  1 Mn 2.41
Mn1 0.0000 0.0000 0.5000  2 Pa 2.41
Mn2 0.5000 0.5000 0.0000  2 Pa 2.41
Se1 0.0000 0.0000 0.1763  6 Pa 2.91-2.95
Se2 0.0000 0.0000 0.8237  6 Pa 2.91-2.95
Se3 0.5000 0.5000 0.3237  6 Pa 2.91-2.95
Se4 0.5000 0.5000 0.6763  6 Pa 2.91-2.95